(1)
Computed, not measured: a geometry-optimized K2ThAsO6 structure at the PBE level of DFT.

Lattice parameters (Å, degrees): 5.7900 5.7900 4.6122 90.00 90.00 90.00
Closest atoms and distances in Å follow each position.
Space group P4mm (No. 99)
One atom of each set of equivalent atoms:
K: 0.0000 0.5000 0.0000 (multiplicity 2)  12 O 2.90-3.20
Th: 0.0000 0.0000 0.5193 (multiplicity 1)  6 O 2.29-2.32
As: 0.5000 0.5000 0.4497 (multiplicity 1)  5 O 1.72-1.83
O: 0.0000 0.0000 0.0232 (multiplicity 1)  2 Th 2.29-2.32
O: 0.2811 0.2811 0.5318 (multiplicity 4)  1 As 1.83
O: 0.5000 0.5000 0.0762 (multiplicity 1)  1 As 1.72

Results
* formation energy without anion corrections: -2.027 eV/atom
* magnetic moment: 1.05 μB/f.u.
* total energy: -6.429 eV per atom

***

(2)
Computed, not measured: a geometry-optimized KThAs2O8 structure at the PBE level of DFT.

Lattice parameters (Å, degrees): 5.8729 5.8729 7.8473 90.00 90.00 120.00
Closest atoms and distances in Å follow each position.
Space group P-3 (No. 147)
One atom of each set of equivalent atoms:
K: 0.0000 0.0000 0.0000 (multiplicity 1)  12 O 3.05-3.40
Th: 0.0000 0.0000 0.5000 (multiplicity 1)  6 O 2.29
As: 0.3333 0.6667 0.7581 (multiplicity 2)  4 O 1.72
O: 0.1670 0.3494 0.6836 (multiplicity 6)  1 As 1.72
O: 0.3333 0.6667 0.9767 (multiplicity 2)  1 As 1.72

Results
* formation energy without anion corrections: -1.874 eV/atom
* magnetic moment: 1.05 μB/f.u.
* total energy: -6.665 eV per atom

***

(3)
Computed, not measured: a geometry-optimized KTiAsO5 structure at the PBE level of DFT.

Lattice parameters (Å, degrees): 7.0389 9.2598 7.3152 90.00 114.77 90.00
Closest atoms and distances in Å follow each position.
Space group C2/c (No. 15)
One atom of each set of equivalent atoms:
K: 0.0000 0.1704 0.2500 (multiplicity 4)  7 O 2.60-2.68
Ti: 0.0000 0.5000 0.0000 (multiplicity 4)  6 O 1.88-2.08
As: 0.0000 0.1897 0.7500 (multiplicity 4)  4 O 1.73
O: 0.0000 0.4514 0.2500 (multiplicity 4)  2 Ti 1.88
O: 0.0890 0.2953 0.6071 (multiplicity 8)  1 As 1.73
O: 0.1961 0.0774 0.9078 (multiplicity 8)  1 As 1.73

Results
* formation energy without anion corrections: -2.066 eV/atom
* magnetic moment: 0.00 μB/f.u.
* total energy: -6.870 eV per atom
* energy above the lowest structure with this stoichiometry: 65 meV/atom

***

(4)
Computed, not measured: a geometry-optimized K2TiAsO6 structure at the PBE level of DFT.

Lattice parameters (Å, degrees): 5.6687 5.6687 27.8963 90.00 90.00 120.00
Closest atoms and distances in Å follow each position.
Space group R-3m (No. 166, hexagonal axes)
One atom of each set of equivalent atoms:
K: 0.0000 0.0000 0.1286 (multiplicity 6)  12 O 2.86-3.03
K: 0.0000 0.0000 0.2854 (multiplicity 6)  12 O 2.69-2.92
Ti: 0.0000 0.0000 0.0000 (multiplicity 3)  6 O 2.01
Ti: 0.0000 0.0000 0.5000 (multiplicity 3)  6 O 1.97
As: 0.0000 0.0000 0.4058 (multiplicity 6)  6 O 1.84-1.93
O: 0.0090 0.5045 0.2937 (multiplicity 18)  1 As 1.84, 1 Ti 2.01
O: 0.0409 0.5204 0.1185 (multiplicity 18)  1 As 1.93, 1 Ti 1.97

Results
* formation energy without anion corrections: -1.755 eV/atom
* magnetic moment: 1.01 μB/f.u.
* total energy: -6.204 eV per atom